Entry A
The following is a SCAN calculation of a crystal of AlMo2Ir relaxed with PBEsol, from Alexandria via LeMat-Bulk.

Properties
DOS(E_F) = 2.88 states/eV/cell

a b c (Å): 4.641 4.641 2.747
angles (deg): 90.00 90.00 90.00
Space group P4/mmm (No. 123)
Inequivalent atoms, fractional coordinates:
Al (0.000, 0.000, 0.000)
Mo (0.000, 0.500, 0.500)
Ir (0.500, 0.500, 0.000)


Entry B
The following is a SCAN calculation of a crystal of AlMo2Ir relaxed with PBEsol, from Alexandria via LeMat-Bulk.

Properties
DOS(E_F) = 4.54 states/eV/cell

a b c (Å): 3.290 4.039 8.716
angles (deg): 90.00 90.00 90.00
Space group Immm (No. 71)
Inequivalent atoms, fractional coordinates:
Al (0.000, 0.000, 0.000)
Mo (0.000, 0.500, 0.250)
Ir (0.000, 0.000, 0.500)


The structure with the most favorable energy is entry B; the runner-up is 395 meV per atom above it.


Entry A
The following is a SCAN calculation of a crystal of NbAlIr3 relaxed with PBEsol, from Alexandria via LeMat-Bulk.

Properties
DOS(E_F) = 5.26 states/eV/cell

a b c (Å): 4.705 4.705 4.705
angles (deg): 90.00 90.00 90.00
Space group Pm-3m (No. 221)
Inequivalent atoms, fractional coordinates:
Nb (0.000, 0.000, 0.000)
Al (0.500, 0.500, 0.500)
Ir (0.000, 0.000, 0.500)


Entry B
The following is a SCAN calculation of a crystal of NbAlIr3 relaxed with PBEsol, from Alexandria via LeMat-Bulk.

Properties
DOS(E_F) = 5.56 states/eV/cell

a b c (Å): 4.370 4.370 4.370
angles (deg): 90.00 90.00 90.00
Space group Pm-3m (No. 221)
Inequivalent atoms, fractional coordinates:
Nb (0.000, 0.000, 0.000)
Al (0.500, 0.500, 0.500)
Ir (0.000, 0.500, 0.500)


The structure with the most favorable energy is entry B; the runner-up is 950 meV per atom above it.